(1)
# Y4SiPb (PBE-GGA, optimized geometry)
# - Magnetization: 0.00 μB per cell
# - Formation energy (no corrections): 322 meV per atom
# - Calculated volume: 28.6 Å³/atom
data_Y4SiPb
_symmetry_space_group_name_H-M 'F -4 3 m'
_symmetry_Int_Tables_number 216
_symmetry_space_group_name_Hall 'F -4 2 3'
_cell_length_a 8.823
_cell_length_b 8.823
_cell_length_c 8.823
_cell_angle_alpha 90.00
_cell_angle_beta 90.00
_cell_angle_gamma 90.00
loop_
_atom_site_label
_atom_site_fract_x
_atom_site_fract_y
_atom_site_fract_z
_atom_site_occupancy
Y1 0.125 0.125 0.125 1
Si1 0.000 0.000 0.500 1
Pb1 0.250 0.250 0.750 1

(2)
# Th4Si3GeRh12 (PBE-GGA, optimized geometry)
# - Magnetization: 0.00 μB per cell
# - Formation energy (no corrections): -607 meV per atom
# - Calculated volume: 18.7 Å³/atom
data_Th4Si3GeRh12
_symmetry_space_group_name_H-M 'I m -3 m'
_symmetry_Int_Tables_number 229
_symmetry_space_group_name_Hall '-I 4 2 3'
_cell_length_a 9.083
_cell_length_b 9.083
_cell_length_c 9.083
_cell_angle_alpha 90.00
_cell_angle_beta 90.00
_cell_angle_gamma 90.00
loop_
_atom_site_label
_atom_site_fract_x
_atom_site_fract_y
_atom_site_fract_z
_atom_site_occupancy
Th1 0.250 0.250 0.250 1
Si1 0.000 0.000 0.500 1
Ge1 0.000 0.000 0.000 1
Rh1 0.000 0.000 0.256 1
Rh2 0.000 0.250 0.500 1

(3)
# Ta4GaSe8 (PBE-GGA, optimized geometry)
# - Magnetization: 0.00 μB per cell
# - Formation energy (no corrections): -754 meV per atom
# - Calculated volume: 22.3 Å³/atom
data_Ta4GaSe8
_symmetry_space_group_name_H-M 'F -4 3 m'
_symmetry_Int_Tables_number 216
_symmetry_space_group_name_Hall 'F -4 2 3'
_cell_length_a 10.505
_cell_length_b 10.505
_cell_length_c 10.505
_cell_angle_alpha 90.00
_cell_angle_beta 90.00
_cell_angle_gamma 90.00
loop_
_atom_site_label
_atom_site_fract_x
_atom_site_fract_y
_atom_site_fract_z
_atom_site_occupancy
Ta1 0.102 0.102 0.398 1
Ga1 0.000 0.000 0.000 1
Se1 0.136 0.136 0.136 1
Se2 0.136 0.136 0.636 1

(4)
# CsBa2Pb2 (PBE-GGA, optimized geometry)
# - Magnetization: 0.00 μB per cell
# - Calculated volume: 47.0 Å³/atom
# - E_form: -1.7 eV/f.u.
data_CsBa2Pb2
_symmetry_space_group_name_H-M 'P 4/m b m'
_symmetry_Int_Tables_number 127
_symmetry_space_group_name_Hall '-P 4 2ab'
_cell_length_a 10.092
_cell_length_b 10.092
_cell_length_c 4.612
_cell_angle_alpha 90.00
_cell_angle_beta 90.00
_cell_angle_gamma 90.00
loop_
_atom_site_label
_atom_site_fract_x
_atom_site_fract_y
_atom_site_fract_z
_atom_site_occupancy
Cs1 0.000 0.000 0.000 1
Ba1 0.167 0.333 0.500 1
Pb1 0.115 0.615 0.000 1